# 1
Here is an optimized crystal structure of HoErRu from the Alexandria database. Energies are from GGA-PBE.

* energy above the lowest structure with this stoichiometry: 0.060 eV/atom
* ΔH_f (0 K): -0.3162 eV/atom
* raw total energy: -6.455 eV per atom
* symmetry: F-43m (216)

```
3
Lattice="4.747 0.000 0.000 2.373 4.111 0.000 2.373 1.370 3.876" Properties=species:S:1:pos:R:3 pbc="T T T"
Ru 2.373 1.370 0.969
Ho 4.747 2.741 1.938
Er 0.000 0.000 0.000
```

=====

# 2
Here is an optimized crystal structure of HoMgHgPt from the Alexandria database. Energies are from GGA-PBE.

* ΔH_f (0 K): -0.7084 eV/atom
* raw total energy: -3.837 eV per atom
* symmetry: F-43m (216)

```
4
Lattice="4.893 0.000 0.000 2.447 4.238 0.000 2.447 1.413 3.995" Properties=species:S:1:pos:R:3 pbc="T T T"
Mg 4.893 2.825 1.998
Hg 2.447 1.413 0.999
Pt 7.340 4.238 2.996
Ho 0.000 0.000 0.000
```